The following is a GGA-PBE calculation of VS5Cl after structural relaxation, from Alexandria via LeMat-Bulk.

Results
energy: -4.799 eV per atom
ΔE_f (raw): -1.99 eV per formula unit
size of the total moment: 0.001 μB/atom

POSCAR file:
```
VS5Cl
1.0
-3.3766 3.4384 2.5058
-3.5154 -2.9376 1.9698
7.3864 -0.8520 3.8975
Cl V S
1 1 5
Cartesian
-1.1817 -0.0953 5.7632
0.5401 1.3790 4.7226
-0.9994 2.3720 3.3867
-0.1080 0.7200 2.6522
2.0456 -0.5639 5.0880
3.7868 -0.3265 3.9930
1.7213 1.1987 6.5616
```


The following is a GGA-PBE calculation of VSCl2 after structural relaxation, from Alexandria via LeMat-Bulk.

Results
energy: -3.923 eV per atom
polymorph energy (0 for the lowest one): 1.246 eV/atom
ΔE_f (raw): 1.25 eV per formula unit
size of the total moment: 0.250 μB/atom

POSCAR file:
```
VSCl2
1.0
0.0000 3.2866 3.2866
3.2866 0.0000 3.2866
3.2866 3.2866 0.0000
S V Cl
1 1 2
Cartesian
0.0000 0.0000 0.0000
3.2866 3.2866 3.2866
4.9299 4.9299 4.9299
1.6433 1.6433 1.6433
```


The following is a GGA-PBE calculation of VSCl2 after structural relaxation, from Alexandria via LeMat-Bulk.

Results
energy: -4.894 eV per atom
polymorph energy (0 for the lowest one): 0.275 eV/atom
ΔE_f (raw): -2.64 eV per formula unit
size of the total moment: 0.254 μB/atom

POSCAR file:
```
VSCl2
1.0
8.8753 0.0000 0.0000
0.0000 8.8753 0.0000
4.4376 4.4376 2.2452
Cl S V
4 2 2
Cartesian
6.6565 5.3355 1.6839
11.0941 3.5398 1.6839
7.9774 2.2188 0.5613
9.7731 6.6565 0.5613
4.4376 8.8753 1.1226
4.4376 4.4376 0.0000
8.8753 4.4376 1.1226
0.0000 0.0000 0.0000
```


The following is a GGA-PBE calculation of V2SCl2 after structural relaxation, from Alexandria via LeMat-Bulk.

Results
energy: -5.704 eV per atom
ΔE_f (raw): -2.46 eV per formula unit
size of the total moment: 0.000 μB/atom

POSCAR file:
```
V2SCl2
1.0
-1.1546 4.8599 3.6252
-6.0539 -0.7209 -0.9617
-0.2479 -2.7739 3.6397
V Cl S
4 4 2
Cartesian
-5.8460 2.6035 1.5861
-4.1823 0.3029 -0.0540
-1.3625 1.5355 1.0775
-3.0263 3.8361 2.7175
-3.0690 2.4025 4.5073
-4.3874 -1.0374 1.7959
-5.9148 1.2794 3.4576
-1.5416 0.0857 2.8457
0.0000 0.0000 0.0000
-3.6043 2.0695 1.3318
```


The following is a GGA-PBE calculation of VSCl after structural relaxation, from Alexandria via LeMat-Bulk.

Results
energy: -6.020 eV per atom
ΔE_f (raw): -2.97 eV per formula unit
size of the total moment: 0.667 μB/atom

POSCAR file:
```
VSCl
1.0
3.4175 -0.0081 -0.3337
-1.7321 2.9573 -0.2129
0.1929 0.2976 13.0288
Cl S V
2 2 2
Cartesian
-0.0966 1.3071 6.7545
0.5870 2.2009 2.8569
1.8781 2.6460 9.2398
-1.3998 2.8288 0.1186
1.7715 0.5192 8.2635
2.1518 1.0121 1.2677
```


The following is a GGA-PBE calculation of V3SCl after structural relaxation, from Alexandria via LeMat-Bulk.

Results
energy: -5.971 eV per atom
ΔE_f (raw): 3.48 eV per formula unit
size of the total moment: 0.000 μB/atom

POSCAR file:
```
V3SCl
1.0
4.2660 0.0000 0.0000
0.0000 4.2660 0.0000
0.0000 0.0000 4.2660
Cl V S
1 3 1
Cartesian
0.0000 0.0000 0.0000
0.0000 2.1330 0.0000
0.0000 0.0000 2.1330
2.1330 0.0000 0.0000
2.1330 2.1330 2.1330
```


The following is a GGA-PBE calculation of V2SCl after structural relaxation, from Alexandria via LeMat-Bulk.

Results
energy: -6.302 eV per atom
polymorph energy (0 for the lowest one): 0.000 eV/atom
ΔE_f (raw): -1.00 eV per formula unit
size of the total moment: 1.125 μB/atom

POSCAR file:
```
V2SCl
1.0
-3.9923 -3.5438 0.6780
3.3560 -4.0186 -1.2430
1.0115 -4.2824 4.9278
S V Cl
2 4 2
Cartesian
-0.3182 -3.7812 -0.2825
2.0247 -6.0411 1.7011
1.7756 -4.0924 0.5527
-1.7471 -3.7205 1.4875
0.1382 -9.7526 3.2250
0.5837 -6.1239 3.4604
-1.6495 -5.8036 2.6616
0.0000 0.0000 0.0000
```


The following is a GGA-PBE calculation of VSCl after structural relaxation, from Alexandria via LeMat-Bulk.

Results
energy: -6.020 eV per atom
ΔE_f (raw): -2.97 eV per formula unit
size of the total moment: 0.667 μB/atom

POSCAR file:
```
VSCl
1.0
3.4444 0.0000 0.0000
-1.7222 2.9829 0.0000
0.0000 0.0000 6.3541
V S Cl
1 1 1
Cartesian
1.7222 0.9943 2.0115
0.0000 0.0000 0.7712
0.0000 1.9886 3.5714
```


The following is a GGA-PBE calculation of VSCl2 after structural relaxation, from Alexandria via LeMat-Bulk.

Results
energy: -5.169 eV per atom
polymorph energy (0 for the lowest one): 0.000 eV/atom
ΔE_f (raw): -3.74 eV per formula unit
size of the total moment: 0.250 μB/atom

POSCAR file:
```
VSCl2
1.0
3.3662 -0.0001 -0.0041
-0.0005 6.0645 0.0019
-1.6880 -3.0305 5.7111
Cl S V
2 1 1
Cartesian
1.6759 3.0400 4.1450
0.0018 0.0044 1.5635
1.6830 2.6344 -0.0008
-0.0049 -2.4250 5.7092
```


The following is a GGA-PBE calculation of V2SCl2 after structural relaxation, from Alexandria via LeMat-Bulk.

Results
energy: -5.262 eV per atom
ΔE_f (raw): -0.25 eV per formula unit
size of the total moment: 0.000 μB/atom

POSCAR file:
```
V2SCl2
1.0
-1.1916 3.8865 0.3546
0.1693 -0.3189 4.0645
4.3642 3.2863 2.1244
V Cl S
2 2 1
Cartesian
0.4444 2.0783 2.1929
2.8975 4.7756 4.3506
1.3307 4.4783 2.3443
2.0112 2.3756 4.1992
0.0000 0.0000 0.0000
```


The following is a GGA-PBE calculation of VSCl2 after structural relaxation, from Alexandria via LeMat-Bulk.

Results
energy: -3.965 eV per atom
polymorph energy (0 for the lowest one): 1.204 eV/atom
ΔE_f (raw): 1.08 eV per formula unit
size of the total moment: 0.346 μB/atom

POSCAR file:
```
VSCl2
1.0
1.0350 3.6678 11.5113
2.9368 5.7572 10.2598
-0.1036 6.2998 10.3603
S V Cl
1 1 2
Cartesian
1.9341 7.8624 16.0657
0.0000 0.0000 0.0000
3.6392 14.7937 30.2289
0.2290 0.9311 1.9025
```


The following is a GGA-PBE calculation of VSCl after structural relaxation, from Alexandria via LeMat-Bulk.

Results
energy: -6.095 eV per atom
ΔE_f (raw): -3.19 eV per formula unit
size of the total moment: 0.669 μB/atom

POSCAR file:
```
VSCl
1.0
3.4879 0.0000 0.0000
0.0000 5.9292 0.0260
-1.7440 -1.7790 6.4544
S Cl V
2 2 2
Cartesian
0.0000 -0.3917 4.6858
1.7440 4.5419 1.7946
0.0000 1.5947 1.9443
1.7440 2.5555 4.5361
0.0000 3.8061 3.2123
1.7440 0.3442 3.2681
```


The following is a GGA-PBE calculation of VWS2Cl after structural relaxation, from Alexandria via LeMat-Bulk.

Results
energy: -5.787 eV per atom
polymorph energy (0 for the lowest one): 0.003 eV/atom
ΔE_f (raw): 3.24 eV per formula unit
size of the total moment: 1.190 μB/atom

POSCAR file:
```
VWS2Cl
1.0
-1.9330 4.0644 -1.3358
-3.0730 -0.2991 3.5366
2.8660 2.2438 2.6801
W S Cl V
1 2 1 1
Cartesian
-1.0700 3.0046 2.4404
-1.5365 -0.1496 1.7683
-0.9665 2.0322 -0.6679
1.4330 1.1219 1.3401
0.0000 0.0000 0.0000
```


The following is a GGA-PBE calculation of VWS2Cl after structural relaxation, from Alexandria via LeMat-Bulk.

Results
energy: -5.790 eV per atom
polymorph energy (0 for the lowest one): 0.000 eV/atom
ΔE_f (raw): 3.22 eV per formula unit
size of the total moment: 0.009 μB/atom

POSCAR file:
```
VWS2Cl
1.0
-4.5742 0.2451 -0.8473
-0.0808 -4.5726 -0.8865
-0.9172 -0.8938 4.6935
S W Cl V
2 1 1 1
Cartesian
-0.0404 -2.2863 -0.4433
-2.2871 0.1225 -0.4236
0.0000 0.0000 0.0000
-0.4586 -0.4469 2.3467
-2.7861 -2.6107 1.4798
```


The following is a GGA-PBE calculation of VWSCl2 after structural relaxation, from Alexandria via LeMat-Bulk.

Results
energy: -5.494 eV per atom
polymorph energy (0 for the lowest one): 0.000 eV/atom
ΔE_f (raw): 2.42 eV per formula unit
size of the total moment: 0.832 μB/atom

POSCAR file:
```
VWSCl2
1.0
4.8471 0.0000 0.0000
0.0000 4.8471 0.0000
0.0000 0.0000 4.6436
Cl S W V
2 1 1 1
Cartesian
2.4236 0.0000 0.0000
0.0000 2.4236 0.0000
0.0000 0.0000 2.3218
0.0000 0.0000 0.0000
2.4236 2.4236 2.3218
```


The following is a GGA-PBE calculation of VWSCl2 after structural relaxation, from Alexandria via LeMat-Bulk.

Results
energy: -5.372 eV per atom
polymorph energy (0 for the lowest one): 0.122 eV/atom
ΔE_f (raw): 3.03 eV per formula unit
size of the total moment: 1.400 μB/atom

POSCAR file:
```
VWSCl2
1.0
-1.4235 -0.2528 4.4129
3.7076 -2.5923 1.0475
2.5637 4.0956 1.0616
V Cl S W
1 2 1 1
Cartesian
0.0000 0.0000 0.0000
1.8538 -1.2962 0.5238
-0.7117 -0.1264 2.2064
1.2819 2.0478 0.5308
2.4239 0.6253 3.2610
```


The following is a GGA-PBE calculation of VZnSCl2 after structural relaxation, from Alexandria via LeMat-Bulk.

Results
energy: -4.072 eV per atom
polymorph energy (0 for the lowest one): 0.000 eV/atom
ΔE_f (raw): -2.15 eV per formula unit
size of the total moment: 0.365 μB/atom

POSCAR file:
```
VZnSCl2
1.0
-1.7393 4.4454 -0.8119
-4.4267 -1.5012 1.2637
0.8655 1.1396 4.3855
Cl Zn V S
2 1 1 1
Cartesian
-0.8697 2.2227 -0.4060
-2.2133 -0.7506 0.6318
-2.6503 2.0419 2.4186
0.0000 0.0000 0.0000
0.4327 0.5698 2.1928
```


The following is a GGA-PBE calculation of VZnSCl2 after structural relaxation, from Alexandria via LeMat-Bulk.

Results
energy: -3.663 eV per atom
polymorph energy (0 for the lowest one): 0.409 eV/atom
ΔE_f (raw): -0.10 eV per formula unit
size of the total moment: 0.604 μB/atom

POSCAR file:
```
VZnSCl2
1.0
4.6375 0.0000 0.0000
0.0000 4.6375 0.0000
0.0000 0.0000 5.0749
V S Cl Zn
1 1 2 1
Cartesian
2.3187 2.3187 2.5375
0.0000 0.0000 2.5375
0.0000 2.3187 0.0000
2.3187 0.0000 0.0000
0.0000 0.0000 0.0000
```


The following is a GGA-PBE calculation of ZrVS2Cl after structural relaxation, from Alexandria via LeMat-Bulk.

Results
energy: -5.906 eV per atom
polymorph energy (0 for the lowest one): 0.031 eV/atom
ΔE_f (raw): -1.76 eV per formula unit
size of the total moment: 0.774 μB/atom

POSCAR file:
```
ZrVS2Cl
1.0
4.6906 0.0000 0.0000
0.0000 4.6906 0.0000
0.0000 0.0000 4.5315
V Cl Zr S
1 1 1 2
Cartesian
0.0000 0.0000 0.0000
0.0000 0.0000 2.2657
2.3453 2.3453 2.2657
0.0000 2.3453 0.0000
2.3453 0.0000 0.0000
```


The following is a GGA-PBE calculation of ZrVS2Cl after structural relaxation, from Alexandria via LeMat-Bulk.

Results
energy: -5.937 eV per atom
polymorph energy (0 for the lowest one): 0.000 eV/atom
ΔE_f (raw): -1.91 eV per formula unit
size of the total moment: 0.751 μB/atom

POSCAR file:
```
ZrVS2Cl
1.0
5.0003 0.0000 0.0000
0.0000 5.0003 0.0000
0.0000 0.0000 4.9294
Cl S V Zr
1 2 1 1
Cartesian
0.0000 0.0000 2.4647
0.0000 2.5002 0.0000
2.5002 0.0000 0.0000
2.5002 2.5002 2.4647
0.0000 0.0000 0.0000
```


The following is a GGA-PBE calculation of WS3Cl after structural relaxation, from Alexandria via LeMat-Bulk.

Results
energy: -5.306 eV per atom
polymorph energy (0 for the lowest one): 0.000 eV/atom
ΔE_f (raw): 0.65 eV per formula unit
size of the total moment: 0.000 μB/atom

POSCAR file:
```
WS3Cl
1.0
4.6728 0.0000 0.0000
0.0000 4.6728 0.0000
0.0000 0.0000 4.6728
W S Cl
1 3 1
Cartesian
0.0000 0.0000 0.0000
0.0000 0.0000 2.3364
2.3364 0.0000 0.0000
0.0000 2.3364 0.0000
2.3364 2.3364 2.3364
```


The following is a GGA-PBE calculation of WSCl2 after structural relaxation, from Alexandria via LeMat-Bulk.

Results
energy: -5.395 eV per atom
polymorph energy (0 for the lowest one): 0.000 eV/atom
ΔE_f (raw): -0.81 eV per formula unit
size of the total moment: 0.092 μB/atom

POSCAR file:
```
WSCl2
1.0
-1.9093 0.5513 -8.7202
3.3366 -8.2035 -1.2492
-1.3500 -4.7256 -4.5897
Cl W S
4 2 2
Cartesian
-2.6156 -3.2281 -11.0978
-0.9620 -5.2220 -6.9993
-0.1228 -5.7684 -10.4716
-1.3911 -1.7822 -8.0205
0.0000 0.0000 0.0000
-1.2729 -4.0002 -9.1473
0.7136 -3.8261 -4.9847
1.3501 -8.3776 -5.4118
```


The following is a GGA-PBE calculation of WS3Cl after structural relaxation, from Alexandria via LeMat-Bulk.

Results
energy: -3.730 eV per atom
polymorph energy (0 for the lowest one): 1.575 eV/atom
ΔE_f (raw): 8.53 eV per formula unit
size of the total moment: 0.569 μB/atom

POSCAR file:
```
WS3Cl
1.0
-0.1636 4.5257 -0.3400
-3.8143 0.0472 2.4644
2.4594 0.3744 3.7994
S Cl W
3 1 1
Cartesian
-1.9072 0.0236 1.2322
1.2297 0.1872 1.8997
-0.0818 2.2629 -0.1700
0.0000 0.0000 0.0000
-0.7593 2.4737 2.9619
```


The following is a GGA-PBE calculation of WS2Cl8 after structural relaxation, from Alexandria via LeMat-Bulk.

Results
energy: -3.587 eV per atom
ΔE_f (raw): -3.47 eV per formula unit
size of the total moment: 0.189 μB/atom

POSCAR file:
```
WS2Cl8
1.0
-6.6415 -4.9905 -0.9466
7.1123 -1.6595 -4.2246
-2.9541 1.8278 11.0896
Cl S W
8 2 1
Cartesian
1.0884 -2.0571 3.2081
-1.9399 1.1900 7.3370
-3.5717 -2.7652 2.7103
-0.5434 -6.0122 -1.4186
-0.2986 -2.2636 -0.4669
1.8497 0.4729 6.9604
-4.3330 -5.2951 -1.0420
-2.1847 -2.5586 6.3853
-2.5133 -4.3351 3.5602
0.0300 -0.4872 2.3582
0.0000 0.0000 0.0000
```


The following is a GGA-PBE calculation of WSCl after structural relaxation, from Alexandria via LeMat-Bulk.

Results
energy: -6.985 eV per atom
ΔE_f (raw): -2.03 eV per formula unit
size of the total moment: 0.000 μB/atom

POSCAR file:
```
WSCl
1.0
-3.1988 -0.4547 -0.5527
-1.7374 -5.6761 5.0054
-2.8813 -0.3852 7.2731
Cl S W
2 2 2
Cartesian
-4.4939 -2.4160 8.5569
-3.3236 -4.1001 3.1689
-5.4909 -5.1123 6.8255
-2.3265 -1.4038 4.9003
-3.6449 -1.5298 2.9135
-4.1726 -4.9863 8.8123
```


The following is a GGA-PBE calculation of W3SCl7 after structural relaxation, from Alexandria via LeMat-Bulk.

Results
energy: -5.829 eV per atom
ΔE_f (raw): -8.20 eV per formula unit
size of the total moment: 0.094 μB/atom

POSCAR file:
```
W3SCl7
1.0
-2.3786 5.8503 -3.3183
-3.3570 -3.8201 -4.3287
-2.9345 2.0124 5.6514
W Cl S
3 7 1
Cartesian
-5.0025 3.4479 -2.2230
-3.8109 2.6307 -4.5179
-6.3657 1.8967 -3.9808
-6.1068 2.5956 -0.1493
-3.3060 -2.7656 -2.6453
-4.7290 -1.7898 0.0952
-1.6782 -0.9132 -0.5462
-4.4161 4.5195 2.0308
-5.3475 5.6568 -0.8452
-2.9382 3.5060 -0.8155
-4.4695 1.2067 -2.7505
```


The following is a GGA-PBE calculation of WSCl after structural relaxation, from Alexandria via LeMat-Bulk.

Results
energy: -6.924 eV per atom
ΔE_f (raw): -1.85 eV per formula unit
size of the total moment: 0.004 μB/atom

POSCAR file:
```
WSCl
1.0
5.1463 -0.2717 0.0300
0.1656 3.1563 0.1656
-0.6352 -0.2355 8.2136
W Cl S
2 2 2
Cartesian
1.1274 0.5036 7.4853
3.5493 2.1455 0.9240
3.5915 0.4616 2.7384
1.0851 2.1874 5.6708
3.5284 0.3822 7.4004
1.1483 2.2668 1.0089
```